Density functional theory data (PBE-GGA) for crystalline Ac6Pm5Nd at its relaxed geometry.

Output
DFT total energy   -52.828 eV/f.u.
Space-group type   Immm, No. 71

Cell: 5.488 10.514 10.107 Å, 121.34 105.72 90.00°
Fractional positions:
1 Pm 0.667 0.167 0.334
2 Pm 0.000 0.500 0.000
3 Pm 0.333 0.333 0.666
4 Pm 0.667 0.667 0.334
5 Pm 0.333 0.833 0.666
6 Nd 0.000 0.000 0.000
7 Ac 0.500 0.251 0.000
8 Ac 0.500 0.749 0.000
9 Ac 0.167 0.417 0.334
10 Ac 0.833 0.084 0.666
11 Ac 0.833 0.583 0.666
12 Ac 0.167 0.916 0.334



Density functional theory data (PBE-GGA) for crystalline Ac3Pm2Nd8 at its relaxed geometry.

Output
DFT total energy   -57.856 eV/f.u.
Space-group type   Pbam, No. 55

Cell: 3.679 12.081 22.142 Å, 90.00 90.00 90.00°
Fractional positions:
1 Nd 0.000 0.558 0.343
2 Nd 0.000 0.791 0.445
3 Nd 0.000 0.709 0.945
4 Nd 0.000 0.291 0.055
5 Nd 0.000 0.942 0.843
6 Nd 0.500 0.453 0.931
7 Nd 0.500 0.864 0.288
8 Nd 0.500 0.136 0.712
9 Nd 0.000 0.209 0.555
10 Nd 0.500 0.953 0.569
11 Nd 0.000 0.442 0.657
12 Nd 0.500 0.636 0.788
13 Nd 0.000 0.058 0.157
14 Nd 0.500 0.547 0.069
15 Nd 0.500 0.047 0.431
16 Nd 0.500 0.364 0.212
17 Pm 0.500 0.323 0.399
18 Pm 0.500 0.677 0.601
19 Pm 0.500 0.823 0.101
20 Pm 0.500 0.177 0.899
21 Ac 0.000 0.500 0.500
22 Ac 0.000 0.359 0.799
23 Ac 0.000 0.641 0.201
24 Ac 0.000 0.141 0.299
25 Ac 0.000 0.859 0.701
26 Ac 0.000 0.000 0.000



Density functional theory data (PBE-GGA) for crystalline Ac8Pm2Nd3 at its relaxed geometry.

Output
DFT total energy   -54.869 eV/f.u.
Space-group type   P-1, No. 2

Cell: 6.475 9.697 10.175 Å, 116.83 98.96 77.11°
Fractional positions:
1 Ac 0.991 0.132 0.223
2 Ac 0.984 0.407 0.636
3 Ac 0.485 0.136 0.711
4 Ac 0.490 0.576 0.856
5 Ac 0.016 0.593 0.364
6 Ac 0.510 0.424 0.144
7 Ac 0.515 0.864 0.289
8 Ac 0.009 0.868 0.777
9 Pm 0.536 0.696 0.571
10 Pm 0.464 0.304 0.429
11 Nd 0.001 0.697 0.045
12 Nd 0.999 0.303 0.955
13 Nd 0.500 0.000 0.000



Density functional theory data (PBE-GGA) for crystalline AcPm2Nd at its relaxed geometry.

Output
DFT total energy   -18.244 eV/f.u.
Space-group type   R-3m, No. 166

Cell: 3.764 3.764 12.289 Å, 81.19 81.19 60.00°
Fractional positions:
1 Nd 0.000 0.000 0.000
2 Pm 0.748 0.748 0.756
3 Pm 0.252 0.252 0.244
4 Ac 0.500 0.500 0.500



| no. | M_tot (μB/f.u.) |
| --- | --- |
| 1 | 0.0 |
| 2 | 0.0 |
| 3 | 0.0 |
| 4 | 0.0 |